Record 1
The following is a DFT calculation (PBEsol) of a geometry-optimized CrPBr2 structure.

Summary:
Relative energy among the computed polymorphs: 167 meV/atom
Total magnetic moment: 2.8 μB per cell
E: -39.2 eV for the cell shown
Space-group type: I-42d

Cell lengths 6.7835, 6.7835, 6.7835 Å; angles 96.07, 96.07, 142.04 degrees
Positions (direct):
Cr 0.0000 0.0000 0.0000
Cr 0.7500 0.2500 0.5000
P 0.2500 0.7500 0.5000
P 0.5000 0.5000 0.0000
Br 0.3750 0.2278 0.3528
Br 0.7722 0.1250 0.1472
Br 0.8750 0.0222 0.6472
Br 0.9778 0.6250 0.8528

Record 2
The following is a DFT calculation (PBEsol) of a geometry-optimized Li2CuP2O7 structure.

Summary:
Relative energy among the computed polymorphs: 28 meV/atom
Total magnetic moment: 3.9 μB per cell
E: -323.1 eV for the cell shown
Space-group type: P2_1/c

Cell lengths 4.9522, 13.0194, 9.0487 Å; angles 90.00, 118.84, 90.00 degrees
Positions (direct):
Li 0.0470 0.1148 0.3692
Li 0.0470 0.3852 0.8692
Li 0.4302 0.2067 0.1767
Li 0.4302 0.2933 0.6767
Li 0.5698 0.7067 0.3233
Li 0.5698 0.7933 0.8233
Li 0.9530 0.6148 0.1308
Li 0.9530 0.8852 0.6308
Cu 0.0527 0.1499 0.7577
Cu 0.0527 0.3501 0.2577
Cu 0.9473 0.6499 0.7423
Cu 0.9473 0.8501 0.2423
P 0.2520 0.6693 0.5229
P 0.2520 0.8307 0.0229
P 0.4825 0.5238 0.7786
P 0.4825 0.9762 0.2786
P 0.5175 0.0238 0.7214
P 0.5175 0.4762 0.2214
P 0.7480 0.1693 0.9771
P 0.7480 0.3307 0.4771
O 0.0153 0.1779 0.1542
O 0.0153 0.3221 0.6542
O 0.1797 0.7212 0.6537
O 0.1797 0.7788 0.1537
O 0.2312 0.5323 0.8320
O 0.2312 0.9677 0.3320
O 0.2704 0.1097 0.6366
O 0.2704 0.3903 0.1366
O 0.3085 0.5500 0.5764
O 0.3085 0.9500 0.0764
O 0.3818 0.5811 0.2055
O 0.3818 0.9189 0.7055
O 0.4401 0.2093 0.9575
O 0.4401 0.2907 0.4575
O 0.5599 0.7093 0.5425
O 0.5599 0.7907 0.0425
O 0.6182 0.0811 0.2945
O 0.6182 0.4189 0.7945
O 0.6915 0.0500 0.9236
O 0.6915 0.4500 0.4236
O 0.7296 0.6097 0.8634
O 0.7296 0.8903 0.3634
O 0.7688 0.0323 0.6680
O 0.7688 0.4677 0.1680
O 0.8203 0.2212 0.8463
O 0.8203 0.2788 0.3463
O 0.9847 0.6779 0.3458
O 0.9847 0.8221 0.8458

Record 3
The following is a DFT calculation (PBEsol) of a geometry-optimized Na2As4O11 structure.

Summary:
Total magnetic moment: 0.0 μB per cell
E: -207.7 eV for the cell shown
Space-group type: C2/c

Cell lengths 6.1951, 6.1951, 11.6335 Å; angles 99.44, 99.44, 85.09 degrees
Positions (direct):
Na 0.0391 0.2367 0.4648
Na 0.2367 0.0391 0.9648
Na 0.7633 0.9609 0.0352
Na 0.9609 0.7633 0.5352
As 0.0358 0.4554 0.1654
As 0.4158 0.4972 0.3819
As 0.4554 0.0358 0.6654
As 0.4972 0.4158 0.8819
As 0.5028 0.5842 0.1181
As 0.5446 0.9642 0.3346
As 0.5842 0.5028 0.6181
As 0.9642 0.5446 0.8346
O 0.0321 0.1901 0.1155
O 0.1178 0.5139 0.3184
O 0.1901 0.0321 0.6155
O 0.1961 0.3727 0.8580
O 0.1996 0.6002 0.1011
O 0.3144 0.5227 0.5251
O 0.3727 0.1961 0.3580
O 0.3998 0.8004 0.3989
O 0.4565 0.5435 0.7500
O 0.4773 0.6856 0.9749
O 0.4861 0.8822 0.1816
O 0.5139 0.1178 0.8184
O 0.5227 0.3144 0.0251
O 0.5435 0.4565 0.2500
O 0.6002 0.1996 0.6011
O 0.6273 0.8039 0.6420
O 0.6856 0.4773 0.4749
O 0.8004 0.3998 0.8989
O 0.8039 0.6273 0.1420
O 0.8099 0.9679 0.3845
O 0.8822 0.4861 0.6816
O 0.9679 0.8099 0.8845

| no. | ΔE_f (raw) (kJ/mol of formula units) |
| --- | --- |
| 1 | 16 |
| 2 | -2334 |
| 3 | -2208 |